Cu2NiIO8 | Alexandria via LeMat-Bulk | PBE+U | optimized geometry; symmetry = I-4m2, No. 119; volume = 11.33 Å³ per atom; uncorrected energy = -4.383 eV/atom; density of states at the Fermi level = 8.40 states/eV/f.u.
1.0
-3.6055 -0.9286 4.1973
0.7228 -4.8085 -2.7991
4.9083 1.7944 2.0415
Cu Ni I O
2 1 1 8
direct
0.7500 0.2500 0.5000 Cu
0.5000 0.5000 0.0000 Cu
0.0000 0.0000 0.0000 Ni
0.2500 0.7500 0.5000 I
0.3518 0.0308 0.3210 O
0.2954 0.4933 0.1979 O
0.2954 0.0975 0.8021 O
0.7098 0.0308 0.6790 O
0.9025 0.7046 0.1979 O
0.9692 0.2902 0.3210 O
0.9692 0.6482 0.6790 O
0.5067 0.7046 0.8021 O

=====

CuNiI2O8 | Alexandria via LeMat-Bulk | PBE+U | optimized geometry; symmetry = I-4m2, No. 119; volume = 14.22 Å³ per atom; uncorrected energy = -4.162 eV/atom; density of states at the Fermi level = 3.35 states/eV/f.u.
1.0
6.0610 1.4042 0.0000
-1.4296 6.0551 0.0000
-2.3157 -3.7296 4.4085
Cu Ni I O
1 1 2 8
direct
0.0000 0.0000 0.0000 Cu
0.2500 0.7500 0.5000 Ni
0.7500 0.2500 0.5000 I
0.5000 0.5000 0.0000 I
0.3849 0.1314 0.2536 O
0.3828 0.6314 0.2486 O
0.3828 0.1342 0.7514 O
0.8778 0.1314 0.7464 O
0.8658 0.6172 0.2486 O
0.8686 0.1222 0.2536 O
0.8686 0.6151 0.7464 O
0.3686 0.6172 0.7514 O

=====

Cu2NiIO6 | Alexandria via LeMat-Bulk | PBE+U | optimized geometry; symmetry = C2/c, No. 15; volume = 12.24 Å³ per atom; uncorrected energy = -4.568 eV/atom; density of states at the Fermi level = 3.07 states/eV/f.u.
1.0
5.3216 -0.4115 -0.4271
1.1261 6.7041 0.5502
1.1261 0.3014 6.7199
Cu Ni I O
4 2 2 12
direct
0.3223 0.8456 0.6743 Cu
0.1777 0.3257 0.1544 Cu
0.6777 0.1544 0.3257 Cu
0.8223 0.6743 0.8456 Cu
0.2500 0.8487 0.1513 Ni
0.7500 0.1513 0.8487 Ni
0.2500 0.2983 0.7017 I
0.7500 0.7017 0.2983 I
0.0613 0.0570 0.7126 O
0.4387 0.2874 0.9430 O
0.9387 0.9430 0.2874 O
0.5613 0.7126 0.0570 O
0.4761 0.9288 0.3205 O
0.0239 0.6795 0.0712 O
0.5239 0.0712 0.6795 O
0.9761 0.3205 0.9288 O
0.1014 0.6516 0.6652 O
0.3986 0.3348 0.3484 O
0.8986 0.3484 0.3348 O
0.6014 0.6652 0.6516 O